(1)
A relaxed structure of Hg2OsRu. Source: the Alexandria database, functional PBE.

Cell: 2.9054 2.8712 8.8204 Å, 90.00 99.41 90.00°
With the nearest neighbours (Å) after each atom.
Space group Pm (No. 6)
Inequivalent atoms, fractional coordinates:
Hg (0.0000, 0.0000, 0.0000)  6 Hg 2.87-3.11, 4 Os 3.00
Hg (0.1593, 0.5000, 0.3165)  6 Hg 2.87-3.11, 4 Ru 2.98
Os (0.3743, 0.5000, 0.7469)  4 Ru 2.58, 2 Os 2.87
Ru (0.7850, 0.0000, 0.5663)  4 Os 2.58, 2 Ru 2.87

## Properties
V   18.1 A^3/atom
ρ   15.841 g cm⁻³
E_tot   -4.92 eV/atom
Energy relative to the elements   139.8 kJ/mol of formula units

---

(2)
A relaxed structure of HgOs3Ru. Source: the Alexandria database, functional PBE.

Cell: 4.6839 4.6839 4.6839 Å, 90.00 90.00 90.00°
With the nearest neighbours (Å) after each atom.
Space group Pm-3m (No. 221)
Inequivalent atoms, fractional coordinates:
Hg (0.0000, 0.0000, 0.0000)  12 Os 3.31
Os (0.0000, 0.5000, 0.5000)  2 Ru 2.34
Ru (0.5000, 0.5000, 0.5000)  6 Os 2.34

## Properties
V   20.6 A^3/atom
ρ   14.097 g cm⁻³
E_tot   -6.38 eV/atom
Energy relative to the elements   1097.2 kJ/mol of formula units

---

(3)
A relaxed structure of HgOsRu2. Source: the Alexandria database, functional PBE.

Cell: 7.2315 7.2315 5.4597 Å, 90.00 90.00 90.00°
With the nearest neighbours (Å) after each atom.
Space group I-42d (No. 122)
Inequivalent atoms, fractional coordinates:
Hg (0.0000, 0.0000, 0.0000)  2 Os 2.73, 4 Ru 2.91
Os (0.0000, 0.0000, 0.5000)  4 Ru 2.41
Ru (0.1998, 0.2500, 0.6250)  2 Os 2.41

## Properties
V   17.8 A^3/atom
ρ   13.795 g cm⁻³
E_tot   -6.58 eV/atom
Energy relative to the elements   363.7 kJ/mol of formula units

---

(4)
A relaxed structure of HgOsRu2. Source: the Alexandria database, functional PBE.

Cell: 2.7803 3.7832 5.9943 Å, 90.00 90.00 90.00°
With the nearest neighbours (Å) after each atom.
Space group Pmmm (No. 47)
Inequivalent atoms, fractional coordinates:
Hg (0.0000, 0.0000, 0.0000)  2 Hg 2.78, 8 Ru 2.89, 2 Os 3.00
Os (0.0000, 0.0000, 0.5000)  8 Ru 2.69, 2 Os 2.78, 2 Hg 3.00
Ru (0.5000, 0.5000, 0.2825)  3 Ru 2.61-2.78, 4 Os 2.69, 4 Hg 2.89

## Properties
V   15.8 A^3/atom
ρ   15.617 g cm⁻³
E_tot   -7.06 eV/atom
Energy relative to the elements   178.5 kJ/mol of formula units

---

(5)
A relaxed structure of HgOsRu2. Source: the Alexandria database, functional PBE.

Cell: 2.8011 4.7223 9.7696 Å, 90.00 90.00 90.00°
With the nearest neighbours (Å) after each atom.
Space group Immm (No. 71)
Inequivalent atoms, fractional coordinates:
Hg (0.0000, 0.0000, 0.0000)  4 Os 2.75, 2 Hg 2.80, 4 Ru 3.04
Os (0.0000, 0.0000, 0.5000)  4 Ru 2.60, 4 Hg 2.75, 2 Os 2.80
Ru (0.0000, 0.5000, 0.2241)  2 Os 2.60, 6 Ru 2.79-2.80

## Properties
V   16.2 A^3/atom
ρ   15.239 g cm⁻³
E_tot   -6.79 eV/atom
Energy relative to the elements   282.1 kJ/mol of formula units

---

(6)
A relaxed structure of HgOsRu2. Source: the Alexandria database, functional PBE.

Cell: 3.9296 3.9296 7.9970 Å, 90.00 90.00 90.00°
With the nearest neighbours (Å) after each atom.
Space group I4/mmm (No. 139)
Inequivalent atoms, fractional coordinates:
Hg (0.0000, 0.0000, 0.0000)  4 Os 2.78, 8 Ru 2.80
Os (0.0000, 0.0000, 0.5000)  4 Hg 2.78, 8 Ru 2.80
Ru (0.0000, 0.5000, 0.2500)  4 Ru 2.78, 4 Hg 2.80, 4 Os 2.80

## Properties
V   15.4 A^3/atom
ρ   15.947 g cm⁻³
E_tot   -6.86 eV/atom
Energy relative to the elements   256.3 kJ/mol of formula units